{
  "formula": "Ca2LaP",
  "functional": "PBE",
  "state": "relaxed",
  "cell": [[-3.1928, -2.9062, -3.2598], [2.1500, -2.7966, -4.1016], [0.1410, -5.4046, 0.1913]],
  "species": ["Ca", "Ca", "P", "La"],
  "fractional_positions": [[0.0000, 0.0000, 0.0000], [0.2500, 0.2500, 0.2500], [0.7500, 0.7500, 0.7500], [0.5000, 0.5000, 0.5000]],
  "formation_energy_mev_per_atom": -79,
  "space_group": "F-43m, No. 216",
  "n_ef_per_ev_cell": 5.76
}